Here is crystalline Ho12Ni6C at its relaxed geometry from Alexandria. Energies are from PBE.

Results
E: -5.44 eV per atom
symmetry: No. 148
crystal system: trigonal
calculated volume: 23.99 A^3/atom

abc: 7.7711 7.7711 7.7711
angles: 97.57 97.57 97.57
Last column: nearest neighbours and their distance in Å.
Atoms (fractional coordinates):
Ho  0.0419  0.9187  0.6924  1 C 2.47, 1 Ni 2.71
Ho  0.0813  0.3076  0.9581  1 C 2.47, 1 Ni 2.71
Ho  0.1815  0.5810  0.4131  3 Ni 2.58-2.85
Ho  0.3076  0.9581  0.0813  1 C 2.47, 1 Ni 2.71
Ho  0.4131  0.1815  0.5810  3 Ni 2.58-2.85
Ho  0.4190  0.5869  0.8185  3 Ni 2.58-2.85
Ho  0.5810  0.4131  0.1815  3 Ni 2.58-2.85
Ho  0.5869  0.8185  0.4190  3 Ni 2.58-2.85
Ho  0.6924  0.0419  0.9187  1 C 2.47, 1 Ni 2.71
Ho  0.8185  0.4190  0.5869  3 Ni 2.58-2.85
Ho  0.9187  0.6924  0.0419  1 C 2.47, 1 Ni 2.71
Ho  0.9581  0.0813  0.3076  1 C 2.47, 1 Ni 2.71
Ni  0.1277  0.3074  0.6191  5 Ho 2.58-2.85
Ni  0.3074  0.6191  0.1277  5 Ho 2.58-2.85
Ni  0.3809  0.8723  0.6926  5 Ho 2.58-2.85
Ni  0.6191  0.1277  0.3074  5 Ho 2.58-2.85
Ni  0.6926  0.3809  0.8723  5 Ho 2.58-2.85
Ni  0.8723  0.6926  0.3809  5 Ho 2.58-2.85
C  0.0000  0.0000  0.0000  6 Ho 2.47

Here is crystalline PmTmBeRh at its relaxed geometry from Alexandria. Energies are from PBE.

Results
E: -5.40 eV per atom
symmetry: No. 216
crystal system: cubic
calculated volume: 20.60 A^3/atom

abc: 4.8843 4.8843 4.8843
angles: 60.00 60.00 60.00
Last column: nearest neighbours and their distance in Å.
Atoms (fractional coordinates):
Pm  0.0000  0.0000  0.0000  4 Be 2.99, 4 Rh 2.99
Tm  0.5000  0.5000  0.5000  4 Be 2.99, 4 Rh 2.99
Be  0.2500  0.2500  0.2500  4 Tm 2.99, 4 Pm 2.99
Rh  0.7500  0.7500  0.7500  4 Pm 2.99, 4 Tm 2.99

Here is crystalline CsCeO3 at its relaxed geometry from Alexandria. Energies are from PBE.

Results
symmetry: No. 47
crystal system: orthorhombic
raw formation energy: -2219 meV per atom
calculated volume: 20.49 A^3/atom

abc: 3.5405 4.4001 6.5767
angles: 90.00 90.00 90.00
Last column: nearest neighbours and their distance in Å.
Atoms (fractional coordinates):
Cs  0.0000  0.0000  0.0000  10 O 3.29-3.38, 2 Cs 3.54
Ce  0.0000  0.5000  0.5000  6 O 2.20-2.27
O  0.0000  0.0000  0.5000  2 Ce 2.20
O  0.5000  0.5000  0.2829  2 Ce 2.27
O  0.5000  0.5000  0.7171  2 Ce 2.27

Here is crystalline Cr2InAgMo at its relaxed geometry from Alexandria. Energies are from PBE.

Results
E: -5.97 eV per atom
symmetry: No. 123
crystal system: tetragonal
calculated volume: 22.65 A^3/atom

abc: 4.6225 4.6225 5.2994
angles: 90.00 90.00 90.00
Last column: nearest neighbours and their distance in Å.
Atoms (fractional coordinates):
Cr  0.0000  0.5000  0.0000  2 Mo 2.31
Cr  0.5000  0.0000  0.0000  2 Mo 2.31
In  0.0000  0.0000  0.5000  2 Mo 2.65
Ag  0.5000  0.5000  0.5000  4 In 3.27, 8 Cr 3.52
Mo  0.0000  0.0000  0.0000  4 Cr 2.31

Here is crystalline RbBaCd at its relaxed geometry from Alexandria. Energies are from PBE.

Results
symmetry: No. 107
crystal system: tetragonal
energy relative to the lowest polymorph listed for this composition: 0.089 eV/atom
calculated volume: 52.71 A^3/atom

abc: 8.7303 8.7303 8.7303
angles: 150.79 150.79 41.79
Last column: nearest neighbours and their distance in Å.
Atoms (fractional coordinates):
Rb  0.0000  0.0000  0.0000  4 Cd 3.99, 1 Ba 4.27, 4 Rb 4.40
Ba  0.2620  0.2620  0.0000  4 Cd 3.59
Cd  0.6531  0.6531  0.0000  4 Ba 3.59, 4 Rb 3.99

Here is crystalline CsPrAlTe4 at its relaxed geometry from Alexandria. Energies are from PBE.

Results
symmetry: No. 11
crystal system: monoclinic
raw formation energy: -979 meV per atom
calculated volume: 39.02 A^3/atom

abc: 7.8368 6.6461 10.8948
angles: 90.00 105.71 90.00
Last column: nearest neighbours and their distance in Å.
Atoms (fractional coordinates):
Cs  0.2451  0.2500  0.0505  8 Te 3.80-4.19
Cs  0.7549  0.7500  0.9495  8 Te 3.80-4.19
Pr  0.2492  0.2500  0.5490  8 Te 3.23-3.56
Pr  0.7508  0.7500  0.4510  8 Te 3.23-3.56
Al  0.2620  0.7500  0.3349  4 Te 2.56-2.68
Al  0.7380  0.2500  0.6651  4 Te 2.56-2.68
Te  0.0099  0.5087  0.7056  1 Al 2.68
Te  0.0099  0.9913  0.7056  1 Al 2.68
Te  0.4170  0.7500  0.5784  1 Al 2.60
Te  0.4549  0.7500  0.1791  1 Al 2.56
Te  0.5451  0.2500  0.8209  1 Al 2.56
Te  0.5830  0.2500  0.4216  1 Al 2.60
Te  0.9901  0.0087  0.2944  1 Al 2.68
Te  0.9901  0.4913  0.2944  1 Al 2.68

Here is crystalline Re2RuPt at its relaxed geometry from Alexandria. Energies are from PBE.

Results
symmetry: No. 99
crystal system: tetragonal
energy relative to the lowest polymorph listed for this composition: 0.097 eV/atom
calculated volume: 14.88 A^3/atom

abc: 2.7454 2.7454 7.8950
angles: 90.00 90.00 90.00
Last column: nearest neighbours and their distance in Å.
Atoms (fractional coordinates):
Re  0.0000  0.0000  0.0000  8 Re 2.75-2.82, 4 Pt 2.75
Re  0.5000  0.5000  0.2598  4 Ru 2.64, 8 Re 2.75-2.82
Ru  0.0000  0.0000  0.4855  4 Re 2.64, 4 Ru 2.75, 4 Pt 2.87
Pt  0.5000  0.5000  0.7535  4 Pt 2.75, 4 Re 2.75, 4 Ru 2.87

Here is crystalline Nb2O5 at its relaxed geometry from Alexandria. Energies are from PBE.

Results
symmetry: No. 19
crystal system: orthorhombic
energy relative to the lowest polymorph listed for this composition: 0.057 eV/atom
raw formation energy: -2489 meV per atom
calculated volume: 18.74 A^3/atom

abc: 5.3766 9.8776 9.8785
angles: 90.00 90.00 90.00
Last column: nearest neighbours and their distance in Å.
Atoms (fractional coordinates):
Nb  0.1132  0.1566  0.3988  6 O 1.89-2.10
Nb  0.1184  0.5320  0.7817  4 O 1.84-1.89
Nb  0.3816  0.4680  0.2817  4 O 1.84-1.89
Nb  0.3868  0.8434  0.8988  6 O 1.89-2.10
Nb  0.6132  0.3434  0.6012  6 O 1.89-2.10
Nb  0.6184  0.9680  0.2183  4 O 1.84-1.89
Nb  0.8816  0.0320  0.7183  4 O 1.84-1.89
Nb  0.8868  0.6566  0.1012  6 O 1.89-2.10
O  0.0084  0.5201  0.9613  2 Nb 1.87-2.04
O  0.1151  0.5866  0.2440  2 Nb 1.89-1.99
O  0.1148  0.7844  0.0317  2 Nb 1.89-2.05
O  0.1397  0.9955  0.8356  1 Nb 1.84
O  0.2245  0.7135  0.7677  2 Nb 1.89-2.02
O  0.2755  0.2865  0.2677  2 Nb 1.89-2.02
O  0.3603  0.0045  0.3356  1 Nb 1.84
O  0.3852  0.2156  0.5317  2 Nb 1.89-2.05
O  0.3849  0.4134  0.7440  2 Nb 1.89-1.99
O  0.4916  0.4799  0.4613  2 Nb 1.87-2.04
O  0.5084  0.9799  0.0387  2 Nb 1.87-2.04
O  0.6148  0.7156  0.9683  2 Nb 1.89-2.05
O  0.6151  0.9134  0.7560  2 Nb 1.89-1.99
O  0.6397  0.5045  0.1644  1 Nb 1.84
O  0.7245  0.7865  0.2323  2 Nb 1.89-2.02
O  0.7755  0.2135  0.7323  2 Nb 1.89-2.02
O  0.8603  0.4955  0.6644  1 Nb 1.84
O  0.8849  0.0866  0.2560  2 Nb 1.89-1.99
O  0.8852  0.2844  0.4683  2 Nb 1.89-2.05
O  0.9916  0.0201  0.5387  2 Nb 1.87-2.04

Here is crystalline RbHfGe3 at its relaxed geometry from Alexandria. Energies are from PBE.

Results
symmetry: No. 221
crystal system: cubic
energy relative to the lowest polymorph listed for this composition: 0.000 eV/atom
calculated volume: 29.23 A^3/atom

abc: 5.2677 5.2677 5.2677
angles: 90.00 90.00 90.00
Last column: nearest neighbours and their distance in Å.
Atoms (fractional coordinates):
Rb  0.0000  0.0000  0.0000  12 Ge 3.72
Hf  0.5000  0.5000  0.5000  6 Ge 2.63
Ge  0.0000  0.5000  0.5000  2 Hf 2.63
Ge  0.5000  0.0000  0.5000  2 Hf 2.63
Ge  0.5000  0.5000  0.0000  2 Hf 2.63

Here is crystalline Np3Sn3Sb2Au at its relaxed geometry from Alexandria. Energies are from PBE.

Results
symmetry: No. 189
crystal system: hexagonal
raw formation energy: -64 meV per atom
calculated volume: 25.90 A^3/atom

abc: 8.1163 8.1163 4.0866
angles: 90.00 90.00 120.00
Last column: nearest neighbours and their distance in Å.
Atoms (fractional coordinates):
Np  0.0000  0.3853  0.0000  1 Au 3.13, 4 Sb 3.25, 4 Sn 3.42
Np  0.3853  0.0000  0.0000  1 Au 3.13, 4 Sb 3.25, 4 Sn 3.42
Np  0.6147  0.6147  0.0000  1 Au 3.13, 4 Sb 3.25, 4 Sn 3.42
Sn  0.0000  0.7511  0.5000  2 Au 2.87, 2 Sb 3.11
Sn  0.2489  0.2489  0.5000  2 Au 2.87, 2 Sb 3.11
Sn  0.7511  0.0000  0.5000  2 Au 2.87, 2 Sb 3.11
Sb  0.3333  0.6667  0.5000  3 Sn 3.11, 6 Np 3.25
Sb  0.6667  0.3333  0.5000  3 Sn 3.11, 6 Np 3.25
Au  0.0000  0.0000  0.0000  6 Sn 2.87, 3 Np 3.13

Here is crystalline Ni2GeBr at its relaxed geometry from Alexandria. Energies are from PBE.

Results
symmetry: No. 225
crystal system: cubic
energy relative to the lowest polymorph listed for this composition: 0.159 eV/atom
raw formation energy: 380 meV per atom
calculated volume: 14.98 A^3/atom

abc: 4.3927 4.3927 4.3927
angles: 60.00 60.00 60.00
Last column: nearest neighbours and their distance in Å.
Atoms (fractional coordinates):
Ni  0.2500  0.2500  0.2500  4 Br 2.69, 4 Ge 2.69
Ni  0.7500  0.7500  0.7500  4 Br 2.69, 4 Ge 2.69
Ge  0.0000  0.0000  0.0000  8 Ni 2.69
Br  0.5000  0.5000  0.5000  8 Ni 2.69

Here is crystalline SbTe2PdN at its relaxed geometry from Alexandria. Energies are from PBE.

Results
symmetry: No. 123
crystal system: tetragonal
energy relative to the lowest polymorph listed for this composition: 0.396 eV/atom
raw formation energy: 986 meV per atom
calculated volume: 25.69 A^3/atom

abc: 5.7970 5.7970 3.8217
angles: 90.00 90.00 90.00
Last column: nearest neighbours and their distance in Å.
Atoms (fractional coordinates):
Sb  0.0000  0.0000  0.0000  2 N 1.91
Te  0.0000  0.5000  0.0000  2 Sb 2.90
Te  0.5000  0.0000  0.0000  2 Sb 2.90
Pd  0.5000  0.5000  0.5000  8 Te 3.47, 2 Pd 3.82
N  0.0000  0.0000  0.5000  2 Sb 1.91